# PBE with a Hubbard U Pm2DyWO8, relaxed
data_Pm2DyWO8
_chemical_formula_sum 'Pm2 Dy1 W1 O8'
_cell_length_a 5.1730
_cell_length_b 5.1743
_cell_length_c 6.9214
_cell_angle_alpha 90.00
_cell_angle_beta 90.00
_cell_angle_gamma 90.90
_space_group_name_H-M_alt 'P 1'
_space_group_IT_number 1
_space_group_name_Hall 'P 1'
loop_
_atom_site_label
_atom_site_type_symbol
_atom_site_fract_x
_atom_site_fract_y
_atom_site_fract_z
_atom_site_occupancy
O1 O 0.7322 0.7317 0.0000 1
O2 O 0.1784 0.8221 0.7886 1
O3 O 0.6979 0.6979 0.5000 1
O4 O 0.2678 0.2683 0.0000 1
O5 O 0.3021 0.3021 0.5000 1
O6 O 0.8216 0.1779 0.2114 1
O7 O 0.1783 0.8220 0.2114 1
O8 O 0.8217 0.1780 0.7886 1
Pm1 Pm 0.5000 0.5000 0.7503 1
Pm2 Pm 0.5000 0.5000 0.2497 1
W1 W 0.0000 0.0000 0.0000 1
Dy1 Dy 0.0000 0.0000 0.5000 1
# Energy   -94.184 eV for the cell shown
# ρ   6.9 g cm⁻³
# SG   Cmmm, No. 65